The following is a DFT calculation (PBE-GGA) of a relaxed LaDy2Ru crystal.

Offset from the most stable computed form in meV/atom: 18.7
Energy relative to the elements in eV/atom: -0.28

a = 3.912 Å, b = 6.434 Å, c = 9.386 Å
α = 90.00°, β = 90.00°, γ = 107.75°
Atoms (fractional coordinates):
La (0.421, 0.844, 0.250)
La (0.579, 0.156, 0.750)
Dy (0.147, 0.293, 0.428)
Dy (0.853, 0.707, 0.572)
Dy (0.853, 0.707, 0.928)
Dy (0.147, 0.293, 0.072)
Ru (0.758, 0.516, 0.250)
Ru (0.242, 0.484, 0.750)

***

The following is a DFT calculation (PBE-GGA) of a relaxed La4DyRu crystal.

Energy relative to the elements in eV/atom: -0.08

a = 6.114 Å, b = 7.639 Å, c = 9.697 Å
α = 113.20°, β = 108.40°, γ = 90.00°
Atoms (fractional coordinates):
La (0.174, 0.674, 0.348)
La (0.385, 0.139, 0.770)
La (0.000, 0.208, 0.000)
La (0.615, 0.368, 0.230)
La (0.826, 0.326, 0.652)
La (0.615, 0.861, 0.230)
La (0.000, 0.792, 0.000)
La (0.385, 0.632, 0.770)
Dy (0.802, 0.801, 0.603)
Dy (0.198, 0.199, 0.397)
Ru (0.254, 0.500, 0.000)
Ru (0.746, 0.500, 0.000)

***

The following is a DFT calculation (PBE-GGA) of a relaxed LaDy3Ru3 crystal.

Energy relative to the elements in eV/atom: -0.32

a = 5.892 Å, b = 5.901 Å, c = 5.892 Å
α = 109.50°, β = 109.44°, γ = 109.50°
Atoms (fractional coordinates):
La (0.000, 0.414, 0.000)
Dy (0.415, 0.002, 0.000)
Dy (0.585, 0.587, 0.585)
Dy (0.000, 0.002, 0.415)
Ru (0.493, 0.504, 0.000)
Ru (0.507, 0.011, 0.507)
Ru (0.000, 0.504, 0.493)

***

The following is a DFT calculation (PBE-GGA) of a relaxed LaDy2Ru crystal.

Offset from the most stable computed form in meV/atom: 359.0
Energy relative to the elements in eV/atom: 0.06

a = 3.538 Å, b = 3.538 Å, c = 10.953 Å
α = 80.71°, β = 80.71°, γ = 60.00°
Atoms (fractional coordinates):
Ru (0.500, 0.500, 0.500)
La (0.000, 0.000, 0.000)
Dy (0.109, 0.109, 0.674)
Dy (0.891, 0.891, 0.326)

***

The following is a DFT calculation (PBE-GGA) of a relaxed LaDy5Ru6 crystal.

Energy relative to the elements in eV/atom: -0.28

a = 4.839 Å, b = 6.847 Å, c = 8.366 Å
α = 114.16°, β = 106.81°, γ = 90.00°
Atoms (fractional coordinates):
Ru (0.833, 0.584, 0.667)
Ru (0.833, 0.083, 0.667)
Ru (0.500, 0.751, 0.000)
Ru (0.500, 0.249, 0.000)
Ru (0.167, 0.917, 0.333)
Ru (0.167, 0.416, 0.333)
La (0.000, 0.000, 0.000)
Dy (0.671, 0.171, 0.341)
Dy (0.334, 0.334, 0.668)
Dy (0.000, 0.500, 0.000)
Dy (0.666, 0.666, 0.332)
Dy (0.329, 0.829, 0.659)

***

The following is a DFT calculation (PBE-GGA) of a relaxed LaDyRu4 crystal.

Energy relative to the elements in eV/atom: -0.19

a = 5.400 Å, b = 5.400 Å, c = 5.400 Å
α = 60.00°, β = 60.00°, γ = 60.00°
Atoms (fractional coordinates):
Ru (0.625, 0.625, 0.124)
Ru (0.625, 0.124, 0.625)
Ru (0.625, 0.625, 0.625)
Ru (0.124, 0.625, 0.625)
La (0.250, 0.250, 0.250)
Dy (0.000, 0.000, 0.000)